1.
First-principles (PBE) data for a geometry-optimized NaLi12 structure, as listed in Alexandria.

Calculated values
Electronic total energy in eV per cell: -23.623
ΔE_f in eV per atom: 0.051

```
13
Lattice="-5.402 -0.723 -1.061 -2.062 -7.316 0.951 -4.223 0.958 6.319" Properties=species:S:1:pos:R:3 pbc="T T T"
Li -6.460 -1.176 4.638
Li -3.732 -4.019 -0.055
Na 0.000 0.000 0.000
Li -5.718 -2.743 1.927
Li -2.837 -4.349 2.876
Li -2.890 -1.569 1.255
Li -5.226 -5.904 1.571
Li -5.968 -4.337 4.282
Li -2.111 0.479 3.159
Li -1.031 -3.658 0.476
Li -3.448 -2.009 4.394
Li -4.812 0.118 2.629
Li -8.796 -5.511 4.954
```

---

2.
First-principles (PBE) data for a geometry-optimized Na13Li3 structure, as listed in Alexandria.

Calculated values
Electronic total energy in eV per cell: -22.325
ΔE_f in eV per atom: 0.035

```
16
Lattice="-5.262 -4.576 2.733 0.620 -4.344 -6.070 6.755 -5.154 4.377" Properties=species:S:1:pos:R:3 pbc="T T T"
Na -1.040 -3.591 2.403
Na -0.776 -4.399 -3.982
Na 0.204 -10.599 3.049
Na 2.255 -4.734 1.381
Na -0.765 -5.678 -0.579
Na 2.461 -6.262 4.671
Na -0.143 -9.340 -0.342
Li -3.569 -5.829 3.725
Li -3.898 -4.522 0.691
Na -3.297 -7.928 0.780
Li -0.104 -8.473 5.971
Na -3.542 -6.824 -2.568
Na -1.081 -2.096 -0.799
Na 2.583 -6.976 -1.765
Na -0.467 -7.097 2.799
Na 2.802 -8.399 1.732
```

---

3.
First-principles (PBE) data for a geometry-optimized Na2Li3 structure, as listed in Alexandria.

Calculated values
Electronic total energy in eV per cell: -8.114
ΔE_f in eV per atom: 0.053

```
5
Lattice="3.354 0.000 0.399 1.653 2.918 0.399 0.078 0.045 13.658" Properties=species:S:1:pos:R:3 pbc="T T T"
Li 2.543 1.482 7.228
Na 1.479 0.862 1.866
Li 0.596 0.347 9.300
Li 4.490 2.617 5.155
Na 3.606 2.102 12.590
```

---

4.
First-principles (PBE) data for a geometry-optimized NaLi11 structure, as listed in Alexandria.

Calculated values
Electronic total energy in eV per cell: -22.011
ΔE_f in eV per atom: 0.030

```
12
Lattice="-2.402 0.579 -1.697 3.932 -5.408 -7.407 -5.856 -4.364 6.799" Properties=species:S:1:pos:R:3 pbc="T T T"
Li -2.593 -4.712 2.063
Li -1.739 -6.965 -2.559
Li -2.928 -2.182 3.399
Li -2.587 -2.228 0.254
Li 0.669 -5.060 -2.672
Li -3.483 -6.779 -0.029
Li 1.966 -2.704 -3.703
Li -0.962 -4.886 -0.304
Li -5.314 -4.261 3.420
Li 0.988 -4.932 -5.725
Li -0.843 -2.414 -2.276
Na 0.000 0.000 0.000
```

---

5.
First-principles (PBE) data for a geometry-optimized Na3Li5 structure, as listed in Alexandria.

Calculated values
Electronic total energy in eV per cell: -26.233
ΔE_f in eV per atom: 0.051

```
16
Lattice="8.155 0.000 0.000 0.000 7.176 0.008 0.000 0.005 7.176" Properties=species:S:1:pos:R:3 pbc="T T T"
Li 4.078 3.674 3.508
Li 0.000 7.084 3.459
Na 1.888 1.780 5.401
Li 6.261 5.403 1.781
Li 0.000 7.052 0.132
Na 6.267 1.780 5.401
Li 1.894 5.403 1.781
Li 0.000 3.725 0.098
Li 6.317 1.767 1.767
Na 4.078 7.088 3.534
Na 4.078 7.101 0.083
Na 4.078 3.650 0.094
Li 1.838 1.767 1.767
Li 6.317 5.415 5.416
Na 0.000 3.682 3.500
Li 1.838 5.415 5.416
```

---

6.
First-principles (PBE) data for a geometry-optimized Na8Li structure, as listed in Alexandria.

Calculated values
Electronic total energy in eV per cell: -12.229
ΔE_f in eV per atom: 0.026

```
9
Lattice="3.699 0.000 1.316 1.850 8.929 0.658 -1.143 0.000 9.070" Properties=species:S:1:pos:R:3 pbc="T T T"
Na 2.704 2.970 4.114
Na 1.850 2.840 0.658
Na 0.854 5.959 3.456
Na 0.898 0.000 3.334
Na 1.702 5.959 6.930
Na -0.147 2.970 6.272
Li 0.000 0.000 0.000
Na 3.699 6.088 1.316
Na 1.659 0.000 7.052
```